No. 1
The following is a GGA-PBE calculation of a relaxed ZnCdHg2 crystal, from Alexandria.

```
ZnCdHg2
1.0
5.303 -0.158 0.000
1.468 5.098 0.000
-3.385 -2.470 3.253
Hg Cd Zn
2 1 1
direct
0.500 0.500 0.000
0.000 0.000 0.000
0.750 0.250 0.500
0.250 0.750 0.500
```

The value obtained for the total magnetization is 0.000 Bohr magnetons per cell. As for the crystal system: tetragonal. The formation energy is 0.095 eV per atom. As for the symmetry: I4/mmm (139). The energy above the most stable polymorph in this dataset is 3.10 kJ/mol of atoms.

No. 2
The following is a GGA-PBE calculation of a relaxed ZnCd9Hg2 crystal, from Alexandria.

```
ZnCd9Hg2
1.0
-1.668 5.060 -1.559
-2.004 -2.116 -4.725
-7.790 -1.362 3.914
Hg Cd Zn
2 9 1
direct
0.000 0.000 0.675
0.000 0.000 0.325
0.000 0.500 0.836
0.000 0.500 0.500
0.500 0.500 0.667
0.500 0.000 0.500
0.000 0.500 0.164
0.500 0.000 0.836
0.500 0.000 0.164
0.500 0.500 0.333
0.500 0.500 0.000
0.000 0.000 0.000
```

The value obtained for the total magnetization is 0.000 Bohr magnetons per cell. As for the crystal system: tetragonal. The formation energy is 0.027 eV per atom. As for the symmetry: P4/mmm (123).

No. 3
The following is a GGA-PBE calculation of a relaxed ZnCd2Hg crystal, from Alexandria.

```
ZnCd2Hg
1.0
5.365 -0.069 0.000
1.758 5.069 0.000
-3.562 -2.500 3.139
Zn Hg Cd
1 1 2
direct
0.750 0.250 0.500
0.250 0.750 0.500
0.000 0.000 0.000
0.500 0.500 0.000
```

The value obtained for the total magnetization is 0.000 Bohr magnetons per cell. As for the crystal system: tetragonal. The formation energy is 0.077 eV per atom. As for the symmetry: I4/mmm (139). The energy above the most stable polymorph in this dataset is 2.34 kJ/mol of atoms.

No. 4
The following is a GGA-PBE calculation of a relaxed ZnCd2Hg crystal, from Alexandria.

```
ZnCd2Hg
1.0
0.000 3.538 3.538
3.538 0.000 3.538
3.538 3.538 0.000
Hg Cd Zn
1 2 1
direct
0.500 0.500 0.500
0.750 0.750 0.750
0.250 0.250 0.250
0.000 0.000 0.000
```

The value obtained for the total magnetization is 0.000 Bohr magnetons per cell. As for the crystal system: cubic. The formation energy is 0.115 eV per atom. As for the symmetry: Fm-3m (225). The energy above the most stable polymorph in this dataset is 6.03 kJ/mol of atoms.

No. 5
The following is a GGA-PBE calculation of a relaxed Zn2CdHg crystal, from Alexandria.

```
Zn2CdHg
1.0
-1.167 2.867 -0.684
-0.083 -1.635 -2.715
-7.811 -2.731 1.883
Zn Cd Hg
2 1 1
direct
0.000 0.000 0.000
0.000 0.000 0.500
0.500 0.500 0.250
0.500 0.500 0.750
```

The value obtained for the total magnetization is 0.000 Bohr magnetons per cell. As for the crystal system: orthorhombic. The formation energy is 0.151 eV per atom. As for the symmetry: Cmmm (65). The energy above the most stable polymorph in this dataset is 7.21 kJ/mol of atoms.

No. 6
The following is a GGA-PBE calculation of a relaxed ZnCdHg2 crystal, from Alexandria.

```
ZnCdHg2
1.0
3.355 0.000 0.000
0.000 4.313 0.000
0.000 0.000 6.123
Zn Hg Cd
1 2 1
direct
0.000 0.000 0.490
0.500 0.500 0.272
0.000 0.000 0.987
0.500 0.500 0.751
```

The value obtained for the total magnetization is 0.000 Bohr magnetons per cell. As for the crystal system: orthorhombic. The formation energy is 0.094 eV per atom. As for the symmetry: Pmm2 (25). The energy above the most stable polymorph in this dataset is 3.04 kJ/mol of atoms.

No. 7
The following is a GGA-PBE calculation of a relaxed Zn4CdHg crystal, from Alexandria.

```
Zn4CdHg
1.0
-4.773 1.757 -1.608
-2.965 -2.970 -3.293
-4.446 -2.340 1.792
Zn Cd Hg
4 1 1
direct
0.625 0.625 0.625
0.126 0.625 0.625
0.625 0.126 0.625
0.625 0.625 0.126
0.250 0.250 0.250
0.000 0.000 0.000
```

The value obtained for the total magnetization is 0.000 Bohr magnetons per cell. As for the crystal system: cubic. The formation energy is 0.079 eV per atom. As for the symmetry: F-43m (216).

No. 8
The following is a GGA-PBE calculation of a relaxed ZnCd2Hg crystal, from Alexandria.

```
ZnCd2Hg
1.0
6.308 -0.029 0.016
3.239 5.412 -0.016
-3.900 -4.241 2.568
Cd Zn Hg
2 1 1
direct
0.754 0.254 0.500
0.018 0.018 0.000
0.247 0.747 0.500
0.481 0.481 0.000
```

The value obtained for the total magnetization is 0.000 Bohr magnetons per cell. As for the crystal system: orthorhombic. The formation energy is 0.074 eV per atom. As for the symmetry: Imm2 (44). The energy above the most stable polymorph in this dataset is 2.08 kJ/mol of atoms.

No. 9
The following is a GGA-PBE calculation of a relaxed ZnCdHg2 crystal, from Alexandria.

```
ZnCdHg2
1.0
5.769 0.033 0.091
1.874 5.456 -0.091
-2.920 -3.999 2.961
Hg Zn Cd
2 1 1
direct
0.515 0.515 0.000
0.985 0.985 0.000
0.750 0.250 0.500
0.250 0.750 0.500
```

The value obtained for the total magnetization is 0.000 Bohr magnetons per cell. As for the crystal system: orthorhombic. The formation energy is 0.098 eV per atom. As for the symmetry: Immm (71). The energy above the most stable polymorph in this dataset is 3.40 kJ/mol of atoms.

No. 10
The following is a GGA-PBE calculation of a relaxed ZnCd4Hg7 crystal, from Alexandria.

```
ZnCd4Hg7
1.0
-1.396 2.496 2.426
0.498 -5.554 3.102
12.137 3.701 3.175
Hg Cd Zn
7 4 1
direct
0.941 0.882 0.740
0.319 0.638 0.907
0.486 0.972 0.512
0.690 0.380 0.080
0.197 0.395 0.679
0.069 0.139 0.240
0.825 0.649 0.333
0.998 0.996 0.001
0.165 0.329 0.446
0.619 0.238 0.846
0.376 0.752 0.157
0.816 0.632 0.557
```

The value obtained for the total magnetization is 0.000 Bohr magnetons per cell. As for the crystal system: monoclinic. The formation energy is 0.037 eV per atom. As for the symmetry: Cm (8). The energy above the most stable polymorph in this dataset is 0.00 kJ/mol of atoms.

No. 11
The following is a GGA-PBE calculation of a relaxed Zn2CdHg crystal, from Alexandria.

```
Zn2CdHg
1.0
4.879 -0.149 -0.024
3.592 3.305 -0.024
0.848 0.316 4.798
Zn Cd Hg
2 1 1
direct
0.498 0.498 0.506
0.002 0.002 0.994
0.750 0.750 0.750
0.250 0.250 0.250
```

The value obtained for the total magnetization is 0.000 Bohr magnetons per cell. As for the crystal system: monoclinic. The formation energy is 0.089 eV per atom. As for the symmetry: C2/m (12). The energy above the most stable polymorph in this dataset is 1.18 kJ/mol of atoms.

No. 12
The following is a GGA-PBE calculation of a relaxed Zn2Cd7Hg2 crystal, from Alexandria.

```
Zn2Cd7Hg2
1.0
-2.457 -2.791 3.929
-0.329 -3.703 -3.929
8.325 -1.006 2.371
Cd Hg Zn
7 2 2
direct
0.471 0.099 0.837
0.102 0.102 0.369
0.901 0.529 0.163
0.099 0.471 0.837
0.529 0.901 0.163
0.000 0.000 0.000
0.898 0.898 0.631
0.688 0.312 0.500
0.312 0.688 0.500
0.601 0.601 0.800
0.399 0.399 0.200
```

The value obtained for the total magnetization is 0.000 Bohr magnetons per cell. As for the crystal system: monoclinic. The formation energy is 0.048 eV per atom. As for the symmetry: C2/m (12).

No. 13
The following is a GGA-PBE calculation of a relaxed ZnCd2Hg crystal, from Alexandria.

```
ZnCd2Hg
1.0
-1.572 -2.130 4.644
3.466 -3.862 1.282
0.814 5.093 -1.405
Cd Zn Hg
2 1 1
direct
0.250 0.750 0.500
0.000 0.000 0.000
0.750 0.250 0.500
0.500 0.500 0.000
```

The value obtained for the total magnetization is 0.000 Bohr magnetons per cell. As for the crystal system: tetragonal. The formation energy is 0.078 eV per atom. As for the symmetry: I-4m2 (119). The energy above the most stable polymorph in this dataset is 2.50 kJ/mol of atoms.

No. 14
The following is a GGA-PBE calculation of a relaxed ZnCd10Hg6 crystal, from Alexandria.

```
ZnCd10Hg6
1.0
-3.543 -2.957 -4.035
3.753 4.416 -6.531
3.369 -7.616 2.623
Cd Hg Zn
10 6 1
direct
0.000 0.667 0.333
0.790 0.000 0.253
0.790 0.747 0.747
0.500 0.333 0.667
0.210 0.747 0.000
0.500 0.667 0.333
0.210 0.253 0.253
0.210 0.000 0.747
0.790 0.253 0.000
0.000 0.333 0.667
0.266 0.610 0.610
0.734 0.610 0.000
0.266 0.000 0.390
0.266 0.390 0.000
0.734 0.390 0.390
0.734 0.000 0.610
0.500 0.000 0.000
```

The value obtained for the total magnetization is 0.000 Bohr magnetons per cell. As for the crystal system: trigonal. The formation energy is 0.065 eV per atom. As for the symmetry: P-31m (162).

No. 15
The following is a GGA-PBE calculation of a relaxed ZnCd12Hg16 crystal, from Alexandria.

```
ZnCd12Hg16
1.0
8.524 0.777 -3.319
-3.533 7.796 -3.319
0.062 0.107 10.314
Hg Cd Zn
16 12 1
direct
0.294 0.588 0.569
0.386 0.995 0.685
0.994 0.994 0.001
0.641 0.422 0.004
0.422 0.641 0.004
0.008 0.655 0.006
0.302 0.302 0.295
0.588 0.294 0.569
0.009 0.721 0.435
0.655 0.008 0.006
0.721 0.009 0.435
0.338 0.686 0.305
0.995 0.386 0.685
0.686 0.338 0.305
0.303 0.303 0.673
0.024 0.024 0.711
0.377 0.169 0.995
0.974 0.192 0.360
0.396 0.977 0.189
0.838 0.630 0.628
0.630 0.838 0.628
0.192 0.974 0.360
0.809 0.809 0.178
0.205 0.786 0.826
0.786 0.205 0.826
0.977 0.396 0.189
0.169 0.377 0.995
0.632 0.632 0.813
0.649 0.649 0.325
```

The value obtained for the total magnetization is 0.000 Bohr magnetons per cell. As for the crystal system: monoclinic. The formation energy is 0.042 eV per atom. As for the symmetry: Cm (8).

No. 16
The following is a GGA-PBE calculation of a relaxed ZnCd2Hg crystal, from Alexandria.

```
ZnCd2Hg
1.0
9.391 -0.046 -0.027
8.824 3.215 -0.027
8.824 1.535 2.825
Cd Hg Zn
2 1 1
direct
0.007 0.007 0.007
0.493 0.493 0.493
0.250 0.250 0.250
0.750 0.750 0.750
```

The value obtained for the total magnetization is 0.000 Bohr magnetons per cell. As for the crystal system: trigonal. The formation energy is 0.067 eV per atom. As for the symmetry: R-3m (166). The energy above the most stable polymorph in this dataset is 1.44 kJ/mol of atoms.

No. 17
The following is a GGA-PBE calculation of a relaxed Zn2Cd6Hg crystal, from Alexandria.

```
Zn2Cd6Hg
1.0
4.659 -0.610 -0.353
-0.925 6.606 -1.642
-0.925 1.868 6.546
Zn Cd Hg
2 6 1
direct
0.212 0.387 0.387
0.788 0.613 0.613
0.313 0.380 0.819
0.687 0.181 0.620
0.313 0.819 0.380
0.687 0.620 0.181
0.362 0.816 0.816
0.638 0.184 0.184
0.000 0.000 0.000
```

The value obtained for the total magnetization is 0.000 Bohr magnetons per cell. As for the crystal system: monoclinic. The formation energy is 0.095 eV per atom. As for the symmetry: C2/m (12).

No. 18
The following is a GGA-PBE calculation of a relaxed ZnCd2Hg crystal, from Alexandria.

```
ZnCd2Hg
1.0
-4.471 2.726 4.104
-0.936 -1.401 6.436
3.446 2.200 -5.249
Zn Cd Hg
1 2 1
direct
0.250 0.750 0.500
0.463 0.463 0.000
0.037 0.037 0.000
0.750 0.250 0.500
```

The value obtained for the total magnetization is 0.000 Bohr magnetons per cell. As for the crystal system: orthorhombic. The formation energy is 0.055 eV per atom. As for the symmetry: Immm (71). The energy above the most stable polymorph in this dataset is 0.27 kJ/mol of atoms.

No. 19
The following is a GGA-PBE calculation of a relaxed ZnCdHg2 crystal, from Alexandria.

```
ZnCdHg2
1.0
4.854 0.027 0.048
3.699 3.142 0.048
1.360 0.504 6.001
Cd Hg Zn
1 2 1
direct
0.750 0.750 0.750
0.509 0.509 0.481
0.991 0.991 0.019
0.250 0.250 0.250
```

The value obtained for the total magnetization is 0.000 Bohr magnetons per cell. As for the crystal system: monoclinic. The formation energy is 0.071 eV per atom. As for the symmetry: C2/m (12). The energy above the most stable polymorph in this dataset is 0.74 kJ/mol of atoms.

No. 20
The following is a GGA-PBE calculation of a relaxed ZnCd3Hg6 crystal, from Alexandria.

```
ZnCd3Hg6
1.0
4.089 0.000 0.000
0.000 12.409 -5.194
0.000 -4.733 11.456
Hg Cd Zn
12 6 2
direct
0.750 0.117 0.627
0.250 0.883 0.373
0.250 0.657 0.764
0.250 0.250 0.548
0.250 0.169 0.252
0.750 0.922 0.048
0.750 0.510 0.822
0.750 0.750 0.452
0.250 0.490 0.178
0.750 0.343 0.236
0.750 0.831 0.748
0.250 0.078 0.952
0.750 0.634 0.138
0.250 0.584 0.477
0.750 0.416 0.523
0.250 0.764 0.067
0.250 0.366 0.862
0.750 0.236 0.933
0.750 0.029 0.340
0.250 0.971 0.660
```

The value obtained for the total magnetization is 0.000 Bohr magnetons per cell. As for the crystal system: monoclinic. The formation energy is 0.047 eV per atom. As for the symmetry: P2_1/m (11).

Number 1: DFT total energy -2.41 eV/cell. Number 2: DFT total energy -9.79 eV/cell. Number 3: DFT total energy -3.10 eV/cell. Number 4: DFT total energy -2.95 eV/cell. Number 5: DFT total energy -3.16 eV/cell. Number 6: DFT total energy -2.41 eV/cell. Number 7: DFT total energy -5.84 eV/cell. Number 8: DFT total energy -3.11 eV/cell. Number 9: DFT total energy -2.40 eV/cell. Number 10: DFT total energy -6.60 eV/cell. Number 11: DFT total energy -3.41 eV/cell. Number 12: DFT total energy -9.03 eV/cell. Number 13: DFT total energy -3.09 eV/cell. Number 14: DFT total energy -11.13 eV/cell. Number 15: DFT total energy -15.88 eV/cell. Number 16: DFT total energy -3.14 eV/cell. Number 17: DFT total energy -7.49 eV/cell. Number 18: DFT total energy -3.19 eV/cell. Number 19: DFT total energy -2.51 eV/cell. Number 20: DFT total energy -10.72 eV/cell.